[1]
A relaxed structure of PmNdSmEr2, computed with GGA-PBE.

Values from the calculation:
Formation energy from the elements ... 1.82 eV per formula unit
Size of the total moment ... 0.00 Bohr magnetons per cell

Lattice parameters (Å, degrees): 7.164 7.164 7.174 90.00 90.00 107.86
Atoms (fractional coordinates):
1 Pm 0.001 0.999 0.750
2 Pm 0.999 0.001 0.250
3 Nd 0.272 0.728 0.250
4 Nd 0.728 0.272 0.750
5 Sm 0.275 0.725 0.750
6 Sm 0.725 0.275 0.250
7 Er 0.313 0.313 0.000
8 Er 0.313 0.313 0.500
9 Er 0.687 0.687 0.000
10 Er 0.687 0.687 0.500

=====

[2]
A relaxed structure of LaNd6Dy2Y3, computed with GGA-PBE.

Values from the calculation:
Formation energy from the elements ... 0.17 eV per formula unit
Size of the total moment ... 0.00 Bohr magnetons per cell

Lattice parameters (Å, degrees): 6.313 6.313 11.992 95.03 95.03 120.00
Atoms (fractional coordinates):
1 La 0.000 0.000 0.000
2 Nd 0.084 0.419 0.251
3 Nd 0.250 0.250 0.748
4 Nd 0.419 0.084 0.251
5 Nd 0.581 0.916 0.749
6 Nd 0.750 0.750 0.252
7 Nd 0.916 0.581 0.749
8 Dy 0.334 0.666 0.000
9 Dy 0.666 0.334 0.000
10 Y 0.167 0.833 0.500
11 Y 0.500 0.500 0.500
12 Y 0.833 0.167 0.500

=====

[3]
A relaxed structure of Ca3Pd7Au2, computed with GGA-PBE.

Values from the calculation:
Formation energy from the elements ... -7.08 eV per formula unit
Size of the total moment ... 0.00 Bohr magnetons per cell

Lattice parameters (Å, degrees): 9.531 9.531 9.531 33.30 33.30 33.30
Atoms (fractional coordinates):
1 Ca 0.000 0.000 0.000
2 Ca 0.140 0.140 0.140
3 Ca 0.860 0.860 0.860
4 Pd 0.083 0.587 0.587
5 Pd 0.413 0.413 0.917
6 Pd 0.413 0.917 0.413
7 Pd 0.500 0.500 0.500
8 Pd 0.587 0.083 0.587
9 Pd 0.587 0.587 0.083
10 Pd 0.917 0.413 0.413
11 Au 0.333 0.333 0.333
12 Au 0.667 0.667 0.667

=====

[4]
A relaxed structure of NaBeAsBr2, computed with GGA-PBE.

Values from the calculation:
Size of the total moment ... 1.14 Bohr magnetons per cell
Uncorrected formation energy ... -0.2974 eV per atom
E above lowest polymorph ... 0.00 eV per formula unit

Lattice parameters (Å, degrees): 5.361 5.361 4.330 90.00 90.00 90.00
Atoms (fractional coordinates):
1 Na 0.000 0.000 0.000
2 Be 0.500 0.500 0.500
3 As 0.500 0.500 0.000
4 Br 0.000 0.500 0.500
5 Br 0.500 0.000 0.500

=====

no.,final energy (eV per atom)
1,-4.308
2,-5.163
3,-4.666
4,-2.906